Density functional theory data (GGA-PBE) for crystalline MgAlRh4 at its relaxed geometry.

Geometry as POSCAR:
```
MgAlRh4
1.0
0.000 3.625 3.625
3.625 0.000 3.625
3.625 3.625 0.000
Mg Al Rh
1 1 4
direct
0.000 0.000 0.000 Mg
0.750 0.750 0.750 Al
0.875 0.375 0.375 Rh
0.375 0.375 0.875 Rh
0.375 0.875 0.375 Rh
0.375 0.375 0.375 Rh
```

Energy of formation in eV per atom: -0.18
Total moment in Bohr magnetons per cell: 0.0

---

Density functional theory data (GGA-PBE) for crystalline LaBr2 at its relaxed geometry.

Geometry as POSCAR:
```
LaBr2
1.0
4.141 0.000 0.000
-2.071 3.586 0.000
0.000 0.000 15.059
Br La
4 2
direct
0.333 0.667 0.377 Br
0.667 0.333 0.877 Br
0.667 0.333 0.623 Br
0.333 0.667 0.123 Br
0.000 0.000 0.250 La
0.000 0.000 0.750 La
```

Formation energy (no corrections) in kJ/mol of atoms: -173.14
Total moment in Bohr magnetons per cell: 2.0

---

Density functional theory data (GGA-PBE) for crystalline Cd3CoB at its relaxed geometry.

Geometry as POSCAR:
```
Cd3CoB
1.0
-4.071 2.708 -0.522
-1.802 -3.317 -3.152
-2.088 -2.418 3.739
B Co Cd
1 1 3
direct
0.500 0.500 0.500 B
0.000 0.000 0.000 Co
0.000 0.500 0.000 Cd
0.000 0.000 0.500 Cd
0.500 0.000 0.000 Cd
```

Excess energy over the best structure of this formula in the dataset in eV per formula unit: 2.181
Energy of formation in eV per atom: 1.31
Total moment in Bohr magnetons per cell: 0.6

---

Density functional theory data (GGA-PBE) for crystalline TlRu2 at its relaxed geometry.

Geometry as POSCAR:
```
TlRu2
1.0
-0.384 -3.580 3.778
-3.928 3.436 0.045
-0.124 -2.500 -4.579
Tl Ru
2 4
direct
0.750 0.750 0.000 Tl
0.250 0.250 0.000 Tl
0.132 0.368 0.500 Ru
0.868 0.632 0.500 Ru
0.632 0.132 0.764 Ru
0.368 0.868 0.236 Ru
```

Excess energy over the best structure of this formula in the dataset in eV per formula unit: 1.892
Energy of formation in eV per atom: 1.04
Total moment in Bohr magnetons per cell: 0.8

---

Density functional theory data (GGA-PBE) for crystalline NbMoRh2 at its relaxed geometry.

Geometry as POSCAR:
```
NbMoRh2
1.0
-1.940 5.678 3.681
-5.151 -3.723 3.027
-1.853 0.261 5.352
Mo Rh Nb
2 4 2
direct
0.000 0.000 0.000 Mo
0.750 0.250 0.500 Mo
0.637 0.125 0.250 Rh
0.113 0.625 0.250 Rh
0.375 0.363 0.750 Rh
0.875 0.887 0.750 Rh
0.500 0.500 0.000 Nb
0.250 0.750 0.500 Nb
```

Excess energy over the best structure of this formula in the dataset in eV per formula unit: 2.221
Energy of formation in eV per atom: 0.25
Total moment in Bohr magnetons per cell: 0.0

---

Density functional theory data (GGA-PBE) for crystalline CaHgIr2 at its relaxed geometry.

Geometry as POSCAR:
```
CaHgIr2
1.0
5.128 0.000 0.000
1.718 4.831 0.000
-3.423 -2.416 2.957
Ca Ir Hg
1 2 1
direct
0.500 0.500 0.000 Ca
0.000 0.000 0.000 Ir
0.250 0.750 0.500 Ir
0.750 0.250 0.500 Hg
```

Energy of formation in eV per atom: 0.22
Total moment in Bohr magnetons per cell: 0.0

---

> total moment of number 5 (NbMoRh2)?

0.0 Bohr magnetons per cell

---

> Number 4 is which compound?

TlRu2